[1]
8
Lattice="-2.803 2.803 6.785 2.803 -2.803 6.785 2.803 2.803 -6.785" Properties=species:S:1:pos:R:3 comment="Na2TlN (GGA-PBEsol, relaxed)" e_form_raw_ev_per_atom=0.732 total_energy_ev_per_atom=-2.76 pbc="T T T"
Na 0.000 0.000 0.000
Na 1.401 1.401 -3.392
Na 1.401 -1.401 3.392
Na 0.000 2.803 0.000
Tl 2.803 1.401 1.696
Tl 0.000 1.401 5.089
N 2.803 -1.401 5.089
N 0.000 4.204 1.696


[2]
5
Lattice="4.087 0.000 0.000 0.000 4.087 0.000 0.000 0.000 4.948" Properties=species:S:1:pos:R:3 comment="NaYW2N (GGA-PBEsol, relaxed)" e_form_raw_ev_per_atom=0.121 total_energy_ev_per_atom=-8.75 pbc="T T T"
Na 0.000 0.000 0.000
Y 2.044 2.044 0.000
W 0.000 2.044 2.474
W 2.044 0.000 2.474
N 2.044 2.044 2.474


[3]
5
Lattice="5.268 0.000 0.000 0.000 5.268 0.000 0.000 0.000 5.268" Properties=species:S:1:pos:R:3 comment="NaY3N (GGA-PBEsol, relaxed)" e_form_raw_ev_per_atom=1.887 total_energy_ev_per_atom=-4.19 pbc="T T T"
Na 0.000 0.000 0.000
Y 0.000 0.000 2.634
Y 0.000 2.634 0.000
Y 2.634 0.000 0.000
N 2.634 2.634 2.634


Question: Number 3 is which compound?
Answer: NaY3N